WIBr4: optimized geometry, GGA-PBE.

Lattice parameters (Å, degrees): 6.6337 6.8050 9.4862 111.02 96.55 90.00
Positions (direct):
Br  0.0000  0.7427  0.0000
Br  0.5888  0.3568  0.1719
W  0.3074  0.5219  0.0439
I  0.2043  0.1862  0.3724
Br  0.8024  0.3416  0.6832
Br  0.1976  0.6584  0.3168
Br  0.4112  0.1849  0.8281
Br  0.0000  0.2573  0.0000
Br  0.5888  0.8151  0.1719
Br  0.4112  0.6432  0.8281
W  0.6926  0.4781  0.9561
I  0.7957  0.8138  0.6276

Output
Polymorph energy (0 for the lowest one) in meV per atom: 195
Calculated volume in Å³ per cell: 397
DFT total energy in eV/cell: -44.100
Symmetry: C2/m, No. 12